--- P ---
## Ta2SbSe (SCAN)

Data for Ta2SbSe at its PBEsol-relaxed geometry.

Calculated values
Theoretical density in Mg/m³: 12.37
Magnetic moment in μB/atom: 0.000
SG: Cm (8)

Cell lengths 4.920, 4.920, 5.087 Å; angles 103.41, 103.41, 39.26 degrees
Fractional coordinates of all 4 atoms:
Ta 0.000 0.000 0.000
Ta 0.749 0.749 0.298
Sb 0.252 0.252 0.793
Se 0.485 0.485 0.404


--- Q ---
## Ta2SbSe (SCAN)

Data for Ta2SbSe at its PBEsol-relaxed geometry.

Calculated values
Theoretical density in Mg/m³: 12.45
Magnetic moment in μB/atom: 0.000
SG: F-43m (216)

Cell lengths 4.735, 4.735, 4.735 Å; angles 60.00, 60.00, 60.00 degrees
Fractional coordinates of all 4 atoms:
Ta 0.000 0.000 0.000
Ta 0.250 0.250 0.250
Sb 0.750 0.750 0.750
Se 0.500 0.500 0.500


The winner here is P, beating the second structure by 543 meV per atom.


--- P ---
## Tc2SbSe (SCAN)

Data for Tc2SbSe at its PBEsol-relaxed geometry.

Calculated values
Theoretical density in Mg/m³: 9.99
Magnetic moment in μB/atom: 0.000
SG: C2/m (12)

Cell lengths 4.303, 4.303, 5.497 Å; angles 101.90, 101.90, 41.61 degrees
Fractional coordinates of all 4 atoms:
Tc 0.249 0.249 0.289
Tc 0.751 0.751 0.711
Sb 0.500 0.500 0.000
Se 0.000 0.000 0.500


--- Q ---
## Tc2SbSe (SCAN)

Data for Tc2SbSe at its PBEsol-relaxed geometry.

Calculated values
Theoretical density in Mg/m³: 8.73
Magnetic moment in μB/atom: 0.000
SG: R3m (160)

Cell lengths 9.827, 9.827, 9.827 Å; angles 17.56, 17.56, 17.56 degrees
Fractional coordinates of all 4 atoms:
Tc 0.000 0.000 0.000
Tc 0.261 0.261 0.261
Sb 0.741 0.741 0.741
Se 0.534 0.534 0.534


The winner here is Q, beating the second structure by 89 meV per atom.


--- P ---
## SbTeSe2 (SCAN)

Data for SbTeSe2 at its PBEsol-relaxed geometry.

Calculated values
Theoretical density in Mg/m³: 6.52
Magnetic moment in μB/atom: 0.000
SG: P4/mmm (123)

Cell lengths 4.160, 4.160, 5.996 Å; angles 90.00, 90.00, 90.00 degrees
Fractional coordinates of all 4 atoms:
Sb 0.000 0.000 0.000
Te 0.500 0.500 0.500
Se 0.000 0.000 0.500
Se 0.500 0.500 0.000


--- Q ---
## SbTeSe2 (SCAN)

Data for SbTeSe2 at its PBEsol-relaxed geometry.

Calculated values
Theoretical density in Mg/m³: 7.40
Magnetic moment in μB/atom: 0.000
SG: Fm-3m (225)

Cell lengths 5.055, 5.055, 5.055 Å; angles 60.00, 60.00, 60.00 degrees
Fractional coordinates of all 4 atoms:
Sb 0.000 0.000 0.000
Te 0.500 0.500 0.500
Se 0.250 0.250 0.250
Se 0.750 0.750 0.750


--- R ---
## SbTeSe2 (SCAN)

Data for SbTeSe2 at its PBEsol-relaxed geometry.

Calculated values
Theoretical density in Mg/m³: 6.48
Magnetic moment in μB/atom: 0.000
SG: I4/mmm (139)

Cell lengths 5.140, 5.140, 5.140 Å; angles 110.89, 110.89, 106.67 degrees
Fractional coordinates of all 4 atoms:
Sb 0.000 0.000 0.000
Te 0.500 0.500 0.000
Se 0.000 0.500 0.500
Se 0.500 0.000 0.500


The winner here is P, beating the second structure by 8 meV per atom.


--- P ---
## SbW2Se (SCAN)

Data for SbW2Se at its PBEsol-relaxed geometry.

Calculated values
Theoretical density in Mg/m³: 13.35
Magnetic moment in μB/atom: 0.000
SG: Pmmm (47)

Cell lengths 3.088, 4.451, 5.143 Å; angles 90.00, 90.00, 90.00 degrees
Fractional coordinates of all 4 atoms:
Sb 0.000 0.000 0.000
W 0.000 0.500 0.500
W 0.500 0.500 0.000
Se 0.500 0.000 0.500


--- Q ---
## SbW2Se (SCAN)

Data for SbW2Se at its PBEsol-relaxed geometry.

Calculated values
Theoretical density in Mg/m³: 13.05
Magnetic moment in μB/atom: 0.000
SG: C2/m (12)

Cell lengths 5.315, 5.315, 3.433 Å; angles 106.02, 106.02, 118.00 degrees
Fractional coordinates of all 4 atoms:
Sb 0.000 0.000 0.000
W 0.000 0.500 0.500
W 0.500 0.000 0.500
Se 0.500 0.500 0.000


--- R ---
## SbW2Se (SCAN)

Data for SbW2Se at its PBEsol-relaxed geometry.

Calculated values
Theoretical density in Mg/m³: 11.52
Magnetic moment in μB/atom: 0.000
SG: R3m (160)

Cell lengths 9.927, 9.927, 9.927 Å; angles 18.04, 18.04, 18.04 degrees
Fractional coordinates of all 4 atoms:
Sb 0.000 0.000 0.000
W 0.259 0.259 0.259
W 0.521 0.521 0.521
Se 0.794 0.794 0.794


--- S ---
## SbW2Se (SCAN)

Data for SbW2Se at its PBEsol-relaxed geometry.

Calculated values
Theoretical density in Mg/m³: 14.22
Magnetic moment in μB/atom: 0.000
SG: P4/mmm (123)

Cell lengths 4.569, 4.569, 3.178 Å; angles 90.00, 90.00, 90.00 degrees
Fractional coordinates of all 4 atoms:
Sb 0.000 0.000 0.000
W 0.000 0.500 0.500
W 0.500 0.000 0.500
Se 0.500 0.500 0.000


The winner here is R, beating the second structure by 514 meV per atom.


--- P ---
## SbW2Se (SCAN)

Data for SbW2Se at its PBEsol-relaxed geometry.

Calculated values
Theoretical density in Mg/m³: 13.79
Magnetic moment in μB/atom: 0.000
SG: P2/m (10)

Cell lengths 4.545, 3.062, 5.316 Å; angles 90.00, 112.30, 90.00 degrees
Fractional coordinates of all 4 atoms:
Sb 0.000 0.000 0.000
W 0.500 0.000 0.500
W 0.500 0.500 0.000
Se 0.000 0.500 0.500


--- Q ---
## SbW2Se (SCAN)

Data for SbW2Se at its PBEsol-relaxed geometry.

Calculated values
Theoretical density in Mg/m³: 13.63
Magnetic moment in μB/atom: 0.000
SG: I-4m2 (119)

Cell lengths 4.900, 4.900, 4.900 Å; angles 128.97, 128.97, 75.06 degrees
Fractional coordinates of all 4 atoms:
Sb 0.000 0.000 0.000
W 0.250 0.750 0.500
W 0.500 0.500 0.000
Se 0.750 0.250 0.500


The winner here is P, beating the second structure by 114 meV per atom.


--- P ---
## SbWSe (SCAN)

Data for SbWSe at its PBEsol-relaxed geometry.

Calculated values
Theoretical density in Mg/m³: 10.12
Magnetic moment in μB/atom: 0.000
SG: I4mm (107)

Cell lengths 6.897, 6.897, 6.897 Å; angles 153.96, 153.96, 37.16 degrees
Fractional coordinates of all 3 atoms:
Sb 0.000 0.000 0.000
W 0.648 0.648 0.000
Se 0.256 0.256 0.000


--- Q ---
## SbWSe (SCAN)

Data for SbWSe at its PBEsol-relaxed geometry.

Calculated values
Theoretical density in Mg/m³: 9.64
Magnetic moment in μB/atom: 0.002
SG: P3m1 (156)

Cell lengths 3.181, 3.181, 7.561 Å; angles 90.00, 90.00, 120.00 degrees
Fractional coordinates of all 3 atoms:
Sb 0.000 0.000 0.000
W 0.667 0.333 0.295
Se 0.333 0.667 0.519


The winner here is Q, beating the second structure by 93 meV per atom.